The following is a PBE calculation of an optimized crystal structure of La4PPb, from the Alexandria database.

a = 9.0123 Å, b = 9.0123 Å, c = 9.0123 Å
α = 90.00°, β = 90.00°, γ = 90.00°
Closest atoms and distances in Å follow each position.
Space group F-43m (No. 216)
Asymmetric unit:
1 La 0.1253 0.1253 0.1253  6 La 3.18-3.19
2 P 0.2500 0.2500 0.7500  12 La 3.74, 4 Pb 3.90
3 Pb 0.0000 0.0000 0.5000  12 La 3.74, 4 P 3.90

Computed properties:
Energy relative to the elements   0.09 eV per atom
D(E_F)   17.57 states/eV/cell